No. 1
A relaxed Be3TlCu crystal. Source: Alexandria via LeMat-Bulk, functional PBE.

Cell lengths 4.518, 4.518, 4.518 Å; angles 90.00, 90.00, 90.00 degrees
Positions (direct):
Be 0.500 0.000 0.000
Be 0.000 0.500 0.000
Be 0.000 0.000 0.500
Tl 0.000 0.000 0.000
Cu 0.500 0.500 0.500

Results
Symmetry: Pm-3m
E above lowest polymorph: 0.7449 eV per atom
DOS(E_F): 0.3171 states/eV/atom



No. 2
A relaxed Pr8Ni3PdBr4 crystal. Source: Alexandria via LeMat-Bulk, functional PBE.

Cell lengths 8.310, 9.154, 8.317 Å; angles 117.08, 119.97, 90.00 degrees
Positions (direct):
Ni 0.500 0.500 0.000
Ni 0.500 0.500 0.500
Ni 0.000 0.500 0.500
Br 0.000 0.000 0.000
Br 0.000 0.000 0.500
Br 0.500 0.000 0.500
Br 0.500 0.000 0.000
Pr 0.763 0.304 0.526
Pr 0.278 0.304 0.041
Pr 0.763 0.304 0.041
Pr 0.237 0.696 0.959
Pr 0.237 0.696 0.474
Pr 0.731 0.693 0.462
Pr 0.722 0.696 0.959
Pr 0.269 0.307 0.538
Pd 0.000 0.500 0.000

Results
Symmetry: C2/m
DOS(E_F): 0.7498 states/eV/atom
Formation energy from raw total energies: -844 meV/atom



No. 3
A relaxed RuRhSeN2 crystal. Source: Alexandria via LeMat-Bulk, functional PBE.

Cell lengths 3.730, 3.730, 5.549 Å; angles 90.00, 90.00, 90.00 degrees
Positions (direct):
N 0.500 0.000 0.000
N 0.000 0.500 0.000
Se 0.000 0.000 0.500
Ru 0.000 0.000 0.000
Rh 0.500 0.500 0.500

Results
Symmetry: P4/mmm
E above lowest polymorph: 0.0000 eV per atom
DOS(E_F): 0.9008 states/eV/atom
Formation energy from raw total energies: 941 meV/atom



No. 4
A relaxed Sr2UAs2O2 crystal. Source: Alexandria via LeMat-Bulk, functional PBE.

Cell lengths 4.380, 4.380, 8.949 Å; angles 104.17, 104.17, 90.00 degrees
Positions (direct):
Sr 0.648 0.648 0.296
Sr 0.352 0.352 0.704
O 0.000 0.500 0.000
O 0.500 0.000 0.000
As 0.838 0.838 0.676
As 0.162 0.162 0.324
U 0.000 0.000 0.000

Results
Symmetry: I4/mmm
DOS(E_F): 0.4184 states/eV/atom
Formation energy from raw total energies: -1900 meV/atom



No. 5
A relaxed FeIrRh6 crystal. Source: Alexandria via LeMat-Bulk, functional PBE.

Cell lengths 3.823, 5.417, 5.417 Å; angles 90.01, 90.00, 90.00 degrees
Positions (direct):
Rh 0.500 0.000 0.500
Rh 0.000 0.249 0.249
Rh 0.000 0.751 0.751
Rh 0.000 0.751 0.249
Rh 0.000 0.249 0.751
Rh 0.500 0.500 0.000
Fe 0.500 0.000 0.000
Ir 0.500 0.500 0.500

Results
Symmetry: P4/mmm
E above lowest polymorph: 0.0000 eV per atom
DOS(E_F): 1.1574 states/eV/atom



No. 6
A relaxed GeRh crystal. Source: Alexandria via LeMat-Bulk, functional PBE.

Cell lengths 3.008, 4.197, 14.295 Å; angles 90.00, 90.00, 90.00 degrees
Positions (direct):
Rh 0.500 0.129 0.332
Rh 0.000 0.401 0.500
Rh 0.500 0.129 0.668
Rh 0.500 0.599 0.000
Rh 0.000 0.871 0.832
Rh 0.000 0.871 0.168
Ge 0.000 0.631 0.336
Ge 0.500 0.369 0.164
Ge 0.500 0.369 0.836
Ge 0.000 0.098 0.000
Ge 0.500 0.902 0.500
Ge 0.000 0.631 0.664

Results
Symmetry: Pmmn
E_tot: -6.365 eV/atom
DOS(E_F): 0.4595 states/eV/atom



No. 7
A relaxed SmHo2Ag3Te6 crystal. Source: Alexandria via LeMat-Bulk, functional PBE.

Cell lengths 7.660, 7.660, 7.446 Å; angles 99.84, 99.84, 120.02 degrees
Positions (direct):
Ho 0.667 0.333 0.000
Ho 0.333 0.667 0.000
Ag 0.165 0.835 0.500
Ag 0.500 0.500 0.500
Ag 0.835 0.165 0.500
Sm 0.000 0.000 0.000
Te 0.085 0.424 0.254
Te 0.915 0.576 0.746
Te 0.255 0.255 0.744
Te 0.745 0.745 0.256
Te 0.576 0.915 0.746
Te 0.424 0.085 0.254

Results
Symmetry: C2/m
Formation energy from raw total energies: -832 meV/atom



No. 8
A relaxed TmSc3Ga3 crystal. Source: Alexandria via LeMat-Bulk, functional PBE.

Cell lengths 4.571, 8.602, 8.602 Å; angles 120.00, 90.00, 90.00 degrees
Positions (direct):
Sc 0.250 0.232 0.243
Sc 0.250 0.010 0.768
Sc 0.750 0.990 0.232
Sc 0.750 0.243 0.010
Sc 0.250 0.757 0.990
Sc 0.750 0.768 0.757
Ga 0.750 0.614 0.064
Ga 0.750 0.449 0.386
Ga 0.750 0.936 0.551
Ga 0.250 0.386 0.936
Ga 0.250 0.551 0.614
Ga 0.250 0.064 0.449
Tm 0.750 0.333 0.667
Tm 0.250 0.667 0.333

Results
Symmetry: P6_3/m
E_tot: -5.126 eV/atom
DOS(E_F): 0.8748 states/eV/atom



No. 9
A relaxed SrAlOs2 crystal. Source: Alexandria via LeMat-Bulk, functional PBE.

Cell lengths 4.772, 4.772, 9.374 Å; angles 75.25, 75.25, 90.00 degrees
Positions (direct):
Al 0.250 0.750 0.500
Al 0.500 0.500 0.000
Os 0.415 0.625 0.250
Os 0.335 0.125 0.250
Os 0.875 0.585 0.750
Os 0.375 0.665 0.750
Sr 0.750 0.250 0.500
Sr 0.000 0.000 0.000

Results
Symmetry: I-42d
E_tot: -6.478 eV/atom
DOS(E_F): 0.5282 states/eV/atom



No. 10
A relaxed CsHg2Te4As crystal. Source: Alexandria via LeMat-Bulk, functional PBE.

Cell lengths 7.285, 7.744, 7.744 Å; angles 79.71, 61.94, 61.94 degrees
Positions (direct):
Te 0.033 0.844 0.514
Te 0.392 0.156 0.486
Te 0.608 0.514 0.844
Te 0.967 0.486 0.156
As 0.000 0.500 0.500
Cs 0.000 0.000 0.000
Hg 0.500 0.667 0.333
Hg 0.500 0.333 0.667

Results
Symmetry: I222
Formation energy from raw total energies: -258 meV/atom



No. 11
A relaxed GdMnIrRh crystal. Source: Alexandria via LeMat-Bulk, functional PBE.

Cell lengths 4.621, 4.621, 4.621 Å; angles 60.00, 60.00, 60.00 degrees
Positions (direct):
Ir 0.500 0.500 0.500
Gd 0.750 0.750 0.750
Rh 0.000 0.000 0.000
Mn 0.250 0.250 0.250

Results
Symmetry: F-43m
E_tot: -10.228 eV/atom
DOS(E_F): 0.4652 states/eV/atom



No. 12
A relaxed AcNdBiSb crystal. Source: Alexandria via LeMat-Bulk, functional PBE.

Cell lengths 5.721, 5.721, 5.721 Å; angles 60.00, 60.00, 60.00 degrees
Positions (direct):
Sb 0.500 0.500 0.500
Bi 0.000 0.000 0.000
Ac 0.250 0.250 0.250
Nd 0.750 0.750 0.750

Results
Symmetry: F-43m
E above lowest polymorph: 0.0000 eV per atom
DOS(E_F): 0.8059 states/eV/atom
Formation energy from raw total energies: -810 meV/atom



No. 13
A relaxed Tm3B7Os crystal. Source: Alexandria via LeMat-Bulk, functional PBE.

Cell lengths 3.487, 7.949, 9.235 Å; angles 90.00, 90.00, 102.67 degrees
Positions (direct):
Tm 0.755 0.510 0.250
Tm 0.894 0.788 0.940
Tm 0.245 0.490 0.750
Tm 0.106 0.212 0.440
Tm 0.894 0.788 0.560
Tm 0.106 0.212 0.060
B 0.632 0.264 0.850
B 0.546 0.092 0.250
B 0.368 0.736 0.350
B 0.727 0.455 0.966
B 0.727 0.455 0.534
B 0.520 0.040 0.905
B 0.520 0.040 0.595
B 0.368 0.736 0.150
B 0.632 0.264 0.650
B 0.273 0.545 0.034
B 0.454 0.908 0.750
B 0.273 0.545 0.466
B 0.480 0.960 0.405
B 0.480 0.960 0.095
Os 0.053 0.107 0.750
Os 0.947 0.893 0.250

Results
Symmetry: Cmcm
E_tot: -7.173 eV/atom
DOS(E_F): 0.1470 states/eV/atom



No. 14
A relaxed La2BeSbN crystal. Source: Alexandria via LeMat-Bulk, functional PBE.

Cell lengths 5.612, 5.612, 3.338 Å; angles 90.00, 90.00, 90.00 degrees
Positions (direct):
N 0.000 0.000 0.000
Be 0.000 0.000 0.500
La 0.000 0.500 0.000
La 0.500 0.000 0.000
Sb 0.500 0.500 0.500

Results
Symmetry: P4/mmm
DOS(E_F): 0.7350 states/eV/atom
Formation energy from raw total energies: -831 meV/atom



No. 15
A relaxed Cd5Sb3 crystal. Source: Alexandria via LeMat-Bulk, functional PBE.

Cell lengths 10.013, 9.656, 7.861 Å; angles 99.47, 100.73, 137.07 degrees
Positions (direct):
Sb 0.203 0.217 0.984
Sb 0.791 0.789 0.995
Sb 0.399 0.159 0.503
Sb 0.578 0.822 0.486
Sb 0.809 0.309 0.137
Sb 0.176 0.671 0.822
Cd 0.981 0.025 0.417
Cd 0.229 0.728 0.467
Cd 0.585 0.510 0.364
Cd 0.919 0.231 0.852
Cd 0.739 0.248 0.486
Cd 0.557 0.322 0.929
Cd 0.340 0.493 0.672
Cd 0.031 0.835 0.656
Cd 0.560 0.854 0.119
Cd 0.095 0.787 0.113

Results
Symmetry: P1
E above lowest polymorph: 0.0000 eV per atom
DOS(E_F): 0.2247 states/eV/atom
Formation energy from raw total energies: 25 meV/atom



No. 16
A relaxed CaZrCd2 crystal. Source: Alexandria via LeMat-Bulk, functional PBE.

Cell lengths 6.347, 6.347, 6.347 Å; angles 149.11, 130.72, 59.30 degrees
Positions (direct):
Ca 0.243 0.743 0.500
Cd 0.979 0.979 0.000
Cd 0.758 0.258 0.500
Zr 0.520 0.520 0.000

Results
Symmetry: Imm2
E_tot: -3.110 eV/atom
DOS(E_F): 0.8648 states/eV/atom



No. 17
A relaxed Er4AlZn2Rh crystal. Source: Alexandria via LeMat-Bulk, functional PBE.

Cell lengths 4.964, 4.964, 8.564 Å; angles 73.15, 73.15, 60.00 degrees
Positions (direct):
Er 0.871 0.871 0.387
Er 0.380 0.380 0.859
Er 0.620 0.620 0.141
Er 0.129 0.129 0.613
Zn 0.743 0.743 0.770
Zn 0.257 0.257 0.230
Al 0.000 0.000 0.000
Rh 0.500 0.500 0.500

Results
Symmetry: R-3m
E_tot: -4.512 eV/atom
DOS(E_F): 0.6657 states/eV/atom



No. 18
A relaxed CsMg2BiW crystal. Source: Alexandria via LeMat-Bulk, functional PBE.

Cell lengths 5.651, 7.349, 5.651 Å; angles 90.00, 90.00, 90.00 degrees
Positions (direct):
Mg 0.500 0.000 0.000
Mg 0.000 0.000 0.500
W 0.500 0.500 0.500
Bi 0.000 0.000 0.000
Cs 0.000 0.500 0.000

Results
Symmetry: P4/mmm
E_tot: -2.684 eV/atom
DOS(E_F): 0.5199 states/eV/atom



No. 19
A relaxed Na2InCu2 crystal. Source: Alexandria via LeMat-Bulk, functional PBE.

Cell lengths 6.800, 6.800, 4.689 Å; angles 90.00, 90.00, 90.00 degrees
Positions (direct):
Cu 0.626 0.126 0.000
Cu 0.126 0.374 0.000
Cu 0.374 0.874 0.000
Cu 0.874 0.626 0.000
Na 0.674 0.826 0.500
Na 0.326 0.174 0.500
Na 0.826 0.326 0.500
Na 0.174 0.674 0.500
In 0.500 0.500 0.000
In 0.000 0.000 0.000

Results
Symmetry: P4/mbm
E above lowest polymorph: 0.0000 eV per atom
DOS(E_F): 0.4256 states/eV/atom



No. 20
A relaxed Pm2NdDyHo2 crystal. Source: Alexandria via LeMat-Bulk, functional PBE.

Cell lengths 3.403, 6.674, 17.708 Å; angles 90.00, 90.00, 90.00 degrees
Positions (direct):
Ho 0.000 0.234 0.179
Ho 0.000 0.766 0.821
Ho 0.500 0.734 0.321
Ho 0.500 0.266 0.679
Pm 0.500 0.229 0.348
Pm 0.000 0.729 0.152
Pm 0.000 0.271 0.848
Pm 0.500 0.771 0.652
Nd 0.500 0.500 0.500
Nd 0.000 0.000 0.000
Dy 0.000 0.000 0.500
Dy 0.500 0.500 0.000

Results
Symmetry: Pnnm
E_tot: -4.407 eV/atom
DOS(E_F): 1.5648 states/eV/atom



No. 21
A relaxed PrNiAs2Rh2 crystal. Source: Alexandria via LeMat-Bulk, functional PBE.

Cell lengths 4.505, 4.505, 5.522 Å; angles 90.00, 90.00, 90.00 degrees
Positions (direct):
Rh 0.500 0.500 0.742
Rh 0.500 0.500 0.258
As 0.500 0.000 0.000
As 0.000 0.500 0.000
Ni 0.000 0.000 0.000
Pr 0.000 0.000 0.500

Results
Symmetry: P4/mmm
E_tot: -6.080 eV/atom
DOS(E_F): 0.6728 states/eV/atom



No. 22
A relaxed Tm8FeSb2 crystal. Source: Alexandria via LeMat-Bulk, functional PBE.

Cell lengths 4.410, 7.197, 9.701 Å; angles 95.91, 103.14, 90.00 degrees
Positions (direct):
Tm 0.632 0.035 0.264
Tm 0.594 0.514 0.188
Tm 0.406 0.486 0.812
Tm 0.784 0.658 0.569
Tm 0.999 0.220 0.998
Tm 0.368 0.965 0.736
Tm 0.001 0.780 0.002
Tm 0.216 0.342 0.431
Fe 0.500 0.000 0.000
Sb 0.820 0.230 0.639
Sb 0.180 0.770 0.361

Results
Symmetry: C2/m
DOS(E_F): 0.8440 states/eV/atom
Formation energy from raw total energies: -348 meV/atom



No. 23
A relaxed BePRh2 crystal. Source: Alexandria via LeMat-Bulk, functional PBE.

Cell lengths 2.730, 2.730, 7.941 Å; angles 90.00, 90.00, 118.32 degrees
Positions (direct):
Rh 0.000 0.000 0.976
Rh 0.500 0.500 0.285
Be 0.000 0.000 0.501
P 0.500 0.500 0.738

Results
Symmetry: Cmm2
E above lowest polymorph: 0.6231 eV per atom
DOS(E_F): 0.8582 states/eV/atom



No. 24
A relaxed LaTa2Ag crystal. Source: Alexandria via LeMat-Bulk, functional PBE.

Cell lengths 3.443, 3.443, 7.624 Å; angles 90.00, 90.00, 90.00 degrees
Positions (direct):
La 0.500 0.500 0.763
Ta 0.500 0.500 0.228
Ta 0.000 0.000 0.054
Ag 0.000 0.000 0.456

Results
Symmetry: P4mm
E above lowest polymorph: 0.0000 eV per atom
DOS(E_F): 0.9843 states/eV/atom